Here is crystalline Hf3Cu2Re at its relaxed geometry from Alexandria. Energies are from PBE.

The structure in POSCAR format:
```
Hf3Cu2Re
1.0
4.604 0.000 0.000
-2.302 3.987 0.000
0.000 0.000 11.326
Cu Hf Re
4 6 2
direct
0.333 0.667 0.165 Cu
0.000 0.000 0.500 Cu
0.000 0.000 0.000 Cu
0.667 0.333 0.835 Cu
0.333 0.667 0.416 Hf
0.333 0.667 0.915 Hf
0.000 0.000 0.748 Hf
0.000 0.000 0.252 Hf
0.667 0.333 0.584 Hf
0.667 0.333 0.085 Hf
0.333 0.667 0.669 Re
0.667 0.333 0.331 Re
```

* E above lowest polymorph: 0 meV per atom
* spin magnetization: 0.00 μB/cell
* space-group type: P-3m1 (164)
* formation energy: -0.240 eV per atom

Here is crystalline Hf3CuRe at its relaxed geometry from Alexandria. Energies are from PBE.

The structure in POSCAR format:
```
Hf3CuRe
1.0
4.724 0.000 0.000
0.000 4.724 0.000
0.000 0.000 4.724
Hf Cu Re
3 1 1
direct
0.500 0.000 0.000 Hf
0.000 0.000 0.500 Hf
0.000 0.500 0.000 Hf
0.000 0.000 0.000 Cu
0.500 0.500 0.500 Re
```

* E above lowest polymorph: 99 meV per atom
* spin magnetization: 0.00 μB/cell
* space-group type: Pm-3m (221)
* formation energy: 0.933 eV per atom